No. 1
! Y5ErTmSc2 (PBE, optimized geometry); values from VASP
! total magnetic moment: 0.0 Bohr magnetons per cell
! VASP energy: -5.8359 eV/atom
! calculated density: 5.19 g/cm3
! density of states at the Fermi level: 29.662 states/eV/cell
! ΔH_f (0 K): 166.1 meV/atom
&SYSTEM
  ibrav = 0, nat = 18, ntyp = 4
/
ATOMIC_SPECIES
Y 88.91 Y.upf
Sc 44.96 Sc.upf
Tm 168.93 Tm.upf
Er 167.26 Er.upf
CELL_PARAMETERS angstrom
-2.054 -3.267 4.050
9.649 3.578 3.918
-4.284 7.397 3.795
ATOMIC_POSITIONS angstrom
Y -0.539 5.466 8.000
Y 5.191 4.043 9.758
Y 2.199 6.483 6.346
Y -1.561 0.321 3.331
Y 1.405 0.720 5.157
Y 4.888 7.359 8.417
Y 0.168 0.130 0.190
Y 3.116 3.511 4.413
Y -1.446 2.848 5.428
Y 6.494 1.859 4.794
Sc 2.118 5.960 9.747
Sc 4.439 1.311 7.173
Sc 0.566 2.830 2.570
Sc -0.739 5.726 4.245
Tm -3.261 5.567 6.701
Tm 5.105 4.674 6.360
Er 2.210 3.422 7.745
Er 3.096 0.842 2.250


No. 2
! LaCePm4 (PBE, optimized geometry); values from VASP
! total magnetic moment: 2.1 Bohr magnetons per cell
! VASP energy: -4.6681 eV/atom
! calculated density: 6.67 g/cm3
! density of states at the Fermi level: 18.103 states/eV/cell
! ΔH_f (0 K): 309.2 meV/atom
! relative energy among the computed polymorphs: 0.2504 eV/atom
&SYSTEM
  ibrav = 0, nat = 6, ntyp = 3
/
ATOMIC_SPECIES
Pm 145.00 Pm.upf
Ce 140.12 Ce.upf
La 138.91 La.upf
CELL_PARAMETERS angstrom
6.711 0.000 0.000
3.356 5.812 0.000
3.356 1.937 5.480
ATOMIC_POSITIONS angstrom
Pm 6.711 3.875 0.680
Pm 5.029 4.846 3.427
Pm 8.394 4.846 3.427
Pm 6.711 1.932 3.427
Ce 0.000 0.000 0.000
La 3.356 1.937 1.370


No. 3
! BaBiB2Pt (PBE, optimized geometry); values from VASP
! total magnetic moment: 0.0 Bohr magnetons per cell
! VASP energy: -4.3416 eV/atom
! calculated density: 7.76 g/cm3
! density of states at the Fermi level: 5.434 states/eV/cell
! ΔH_f (0 K): 698.3 meV/atom
&SYSTEM
  ibrav = 0, nat = 5, ntyp = 4
/
ATOMIC_SPECIES
Ba 137.33 Ba.upf
B 10.81 B.upf
Bi 208.98 Bi.upf
Pt 195.08 Pt.upf
CELL_PARAMETERS angstrom
4.425 0.000 0.000
0.000 4.425 0.000
0.000 0.000 6.158
ATOMIC_POSITIONS angstrom
Ba 0.000 0.000 3.079
B 0.000 2.212 0.000
B 2.212 0.000 0.000
Bi 2.212 2.212 3.079
Pt 0.000 0.000 0.000


No. 4
! Nd6Sm2Tm3 (PBE, optimized geometry); values from VASP
! total magnetic moment: 0.0 Bohr magnetons per cell
! VASP energy: -4.6607 eV/atom
! calculated density: 7.54 g/cm3
! density of states at the Fermi level: 14.615 states/eV/cell
! ΔH_f (0 K): 17.5 meV/atom
! relative energy among the computed polymorphs: 0.0000 eV/atom
&SYSTEM
  ibrav = 0, nat = 11, ntyp = 3
/
ATOMIC_SPECIES
Tm 168.93 Tm.upf
Nd 144.24 Nd.upf
Sm 150.36 Sm.upf
CELL_PARAMETERS angstrom
-2.194 5.856 -0.331
-5.753 -2.986 4.869
-6.731 5.955 11.892
ATOMIC_POSITIONS angstrom
Tm 0.000 0.000 0.000
Tm -8.348 2.920 8.113
Tm -6.330 5.905 8.316
Nd -5.912 5.856 4.705
Nd -5.054 2.945 6.689
Nd -8.766 2.969 11.724
Nd -9.624 5.880 9.740
Nd -7.045 -0.038 6.501
Nd -7.633 8.863 9.928
Sm -10.034 5.913 13.345
Sm -4.644 2.911 3.085


No. 5
! MnInPd4 (PBE, optimized geometry); values from VASP
! total magnetic moment: 4.6 Bohr magnetons per cell
! VASP energy: -5.6515 eV/atom
! calculated density: 9.77 g/cm3
! density of states at the Fermi level: 2.684 states/eV/cell
! ΔH_f (0 K): -205.0 meV/atom
! relative energy among the computed polymorphs: 0.1340 eV/atom
&SYSTEM
  ibrav = 0, nat = 6, ntyp = 3
/
ATOMIC_SPECIES
Pd 106.42 Pd.upf
Mn 54.94 Mn.upf
In 114.82 In.upf
CELL_PARAMETERS angstrom
-2.807 -0.597 0.516
-0.257 -4.115 2.084
-0.709 2.742 7.554
ATOMIC_POSITIONS angstrom
Pd -2.867 -3.562 5.003
Pd -2.081 -2.232 2.581
Pd -0.907 1.592 5.151
Pd -1.693 0.262 7.573
Mn 0.000 0.000 0.000
In -1.887 -0.985 5.077


No. 6
! SiAs2P (PBE, optimized geometry); values from VASP
! energy relative to the elements, uncorrected: 642.1 meV per atom
! total magnetic moment: 0.0 Bohr magnetons per cell
! VASP energy: -4.3908 eV/atom
! calculated density: 5.05 g/cm3
! density of states at the Fermi level: 0.980 states/eV/cell
! relative energy among the computed polymorphs: 0.5351 eV/atom
&SYSTEM
  ibrav = 0, nat = 4, ntyp = 3
/
ATOMIC_SPECIES
Si 28.09 Si.upf
As 74.92 As.upf
P 30.97 P.upf
CELL_PARAMETERS angstrom
9.662 -0.059 -0.034
9.249 2.798 -0.034
9.249 1.340 2.457
ATOMIC_POSITIONS angstrom
Si 21.120 3.059 1.791
As 0.067 0.010 0.006
As 14.013 2.030 1.188
P 7.040 1.020 0.597


No. 7
! LiThZrOs (PBE, optimized geometry); values from VASP
! total magnetic moment: 0.0 Bohr magnetons per cell
! VASP energy: -7.4019 eV/atom
! calculated density: 10.45 g/cm3
! density of states at the Fermi level: 2.264 states/eV/cell
! ΔH_f (0 K): -124.0 meV/atom
&SYSTEM
  ibrav = 0, nat = 4, ntyp = 4
/
ATOMIC_SPECIES
Th 232.04 Th.upf
Zr 91.22 Zr.upf
Li 6.94 Li.upf
Os 190.23 Os.upf
CELL_PARAMETERS angstrom
4.891 0.000 0.000
2.445 4.235 0.000
2.445 1.412 3.993
ATOMIC_POSITIONS angstrom
Th 0.000 0.000 0.000
Zr 4.891 2.824 1.997
Li 2.445 1.412 0.998
Os 7.336 4.235 2.995


No. 8
! TbAl3Au4 (PBE, optimized geometry); values from VASP
! total magnetic moment: 0.0 Bohr magnetons per cell
! VASP energy: -4.1343 eV/atom
! calculated density: 10.87 g/cm3
! density of states at the Fermi level: 4.702 states/eV/cell
! ΔH_f (0 K): -513.4 meV/atom
&SYSTEM
  ibrav = 0, nat = 8, ntyp = 3
/
ATOMIC_SPECIES
Al 26.98 Al.upf
Au 196.97 Au.upf
Tb 158.93 Tb.upf
CELL_PARAMETERS angstrom
4.372 0.000 0.000
0.000 4.372 0.000
0.000 0.000 8.212
ATOMIC_POSITIONS angstrom
Al 0.000 0.000 0.000
Al 2.186 2.186 2.844
Al 2.186 2.186 5.368
Au 2.186 0.000 1.509
Au 2.186 0.000 6.703
Au 0.000 2.186 6.703
Au 0.000 2.186 1.509
Tb 0.000 0.000 4.106


- The lowest VASP energy belongs to which entry?
  LiThZrOs


- What is the total magnetic moment in the sixth record?
  0.0 Bohr magnetons per cell


- The highest VASP energy belongs to which entry?
  TbAl3Au4